Entry 1:
# NaTl2Ag2

A relaxed structure of NaTl2Ag2 (PBE-GGA, Alexandria).

Cell: 4.0235 4.0235 15.8719 Å, 90.00 90.00 90.00°
Last column: nearest neighbours and their distance in Å.
Space group I4/mmm (No. 139)
Asymmetric unit:
Na 0.0000 0.0000 0.0000 x2  8 Tl 3.31
Tl 0.0000 0.0000 0.3929 x4  4 Ag 3.03, 4 Na 3.31
Ag 0.0000 0.5000 0.2500 x4  4 Ag 2.85, 4 Tl 3.03

Calculated values
- formation energy from the elements (meV/atom) = 77
- excess energy over the best structure of this formula in the dataset (eV per atom) = 0.053

***

Entry 2:
# Na2Tl4Ag

A relaxed structure of Na2Tl4Ag (PBE-GGA, Alexandria).

Cell: 4.9493 4.9493 16.0506 Å, 90.00 90.00 90.00°
Last column: nearest neighbours and their distance in Å.
Space group I4/mmm (No. 139)
Asymmetric unit:
Na 0.0000 0.0000 0.2474 x4  8 Tl 3.36-3.41, 4 Na 3.50
Tl 0.0000 0.5000 0.1061 x8  2 Ag 3.00, 2 Na 3.36
Ag 0.0000 0.0000 0.0000 x2  8 Tl 3.00

Calculated values
- formation energy from the elements (meV/atom) = -6
- excess energy over the best structure of this formula in the dataset (eV per atom) = 0.000

***

Entry 3:
# Na3Tl3Ag

A relaxed structure of Na3Tl3Ag (PBE-GGA, Alexandria).

Cell: 9.2063 9.2063 9.2063 Å, 90.00 90.00 90.00°
Last column: nearest neighbours and their distance in Å.
Space group P2_13 (No. 198)
Asymmetric unit:
Na 0.0351 0.4649 0.5351 x4  6 Tl 3.24-3.32, 3 Ag 3.60
Na 0.1268 0.8732 0.3732 x4  6 Tl 3.17-3.28, 3 Na 3.44
Na 0.1946 0.1946 0.1946 x4  1 Ag 3.15, 3 Tl 3.34, 3 Na 3.44
Tl 0.0543 0.2845 0.8471 x12  2 Ag 3.05-3.12, 5 Na 3.17-3.34, 2 Tl 3.31
Ag 0.1080 0.6080 0.8920 x4  6 Tl 3.05-3.12, 1 Na 3.15

Calculated values
- formation energy from the elements (meV/atom) = -39
- excess energy over the best structure of this formula in the dataset (eV per atom) = 0.000

***

Entry 4:
# Na2Tl2Ag

A relaxed structure of Na2Tl2Ag (PBE-GGA, Alexandria).

Cell: 7.6625 7.6625 4.6905 Å, 90.00 90.00 90.00°
Last column: nearest neighbours and their distance in Å.
Space group P4/mbm (No. 127)
Asymmetric unit:
Na 0.1414 0.3586 0.0000 x4  2 Ag 2.95, 1 Na 3.07, 2 Tl 3.11
Tl 0.1696 0.6696 0.5000 x4  6 Na 3.11-3.35
Ag 0.0000 0.0000 0.0000 x2  4 Na 2.95

Calculated values
- formation energy from the elements (meV/atom) = 84
- excess energy over the best structure of this formula in the dataset (eV per atom) = 0.141